Computed, not measured: a geometry-optimized Mg2TaCl structure at the PBE level of DFT.

The space group is P2/m (No. 10) and the conventional cell measures 2.986, 5.431 and 4.976 Å, with angles of 90.00, 93.61 and 90.00 degrees. The distinct sites, in fractional coordinates, are Mg at (0.228, 0.000, 0.242), Ta at (0.500, 0.500, 0.000) and Cl at (0.500, 0.500, 0.500).

As for the total magnetization: 0.00 μB per formula unit. The calculation puts the uncorrected formation energy at 22.67 kJ/mol of atoms. The calculation puts the volume at 80.5 Å³ per cell.

=====

Computed, not measured: a geometry-optimized Mg2TaCl structure at the PBE level of DFT.

The space group is P4/mmm (No. 123) and the conventional cell measures 5.340, 5.340 and 2.935 Å, with angles of 90.00, 90.00 and 90.00 degrees. The distinct sites, in fractional coordinates, are Mg at (0.000, 0.500, 0.000), Ta at (0.000, 0.000, 0.500) and Cl at (0.500, 0.500, 0.500).

As for the total magnetization: 0.00 μB per formula unit. The calculation puts the uncorrected formation energy at 22.61 kJ/mol of atoms. The calculation puts the volume at 83.7 Å³ per cell.

=====

Computed, not measured: a geometry-optimized MgTaW2Cl structure at the PBE level of DFT.

The space group is P4/mmm (No. 123) and the conventional cell measures 4.791, 4.791 and 5.770 Å, with angles of 90.00, 90.00 and 90.00 degrees. The distinct sites, in fractional coordinates, are Mg at (0.000, 0.000, 0.000), Ta at (0.000, 0.000, 0.500), W at (0.000, 0.500, 0.500) and Cl at (0.500, 0.500, 0.000).

As for the total magnetization: 1.93 μB per formula unit. The calculation puts the uncorrected formation energy at 186.72 kJ/mol of atoms. The calculation puts the volume at 132.4 Å³ per cell.

=====

Computed, not measured: a geometry-optimized MgZr2TaCl structure at the PBE level of DFT.

The space group is P4/mmm (No. 123) and the conventional cell measures 5.280, 5.280 and 4.296 Å, with angles of 90.00, 90.00 and 90.00 degrees. The distinct sites, in fractional coordinates, are Mg at (0.000, 0.000, 0.000), Zr at (0.000, 0.500, 0.000), Ta at (0.500, 0.500, 0.500) and Cl at (0.000, 0.000, 0.500).

As for the total magnetization: 0.00 μB per formula unit. The calculation puts the uncorrected formation energy at 125.40 kJ/mol of atoms. The calculation puts the volume at 119.8 Å³ per cell.

=====

Computed, not measured: a geometry-optimized TbMgCl structure at the PBE level of DFT.

The space group is Amm2 (No. 38) and the conventional cell measures 17.315, 3.475 and 6.020 Å, with angles of 90.00, 90.00 and 90.00 degrees. The distinct sites, in fractional coordinates, are Tb at (0.158, 0.000, 0.000), Mg at (0.000, 0.000, 0.665), Mg at (0.500, 0.000, 0.882) and Cl at (0.410, 0.000, 0.549).

As for the total magnetization: 0.00 μB per formula unit. The calculation puts the uncorrected formation energy at -56.42 kJ/mol of atoms. The calculation puts the volume at 362.3 Å³ per cell.

=====

Computed, not measured: a geometry-optimized Tb2MgCl8 structure at the PBE level of DFT.

The space group is C2/m (No. 12) and the conventional cell measures 11.680, 12.025 and 6.590 Å, with angles of 90.00, 93.65 and 90.00 degrees. The distinct sites, in fractional coordinates, are Tb at (0.212, 0.000, 0.118), Mg at (0.000, 0.000, 0.500), Cl at (0.087, 0.500, 0.759), Cl at (0.090, 0.148, 0.283) and Cl at (0.186, 0.000, 0.728).

As for the total magnetization: 0.04 μB per formula unit. The calculation puts the uncorrected formation energy at -190.58 kJ/mol of atoms. The calculation puts the volume at 923.7 Å³ per cell.

=====

Sequential calculated density output: 5.5, 5.3, 7.6, 5.9, 4.0, 2.2 g/cm3